No. 1
Density functional theory data (PBE) for a geometry-optimized CaTi2CuPb structure.

It has space group P4/mmm (No. 123), with a = 5.3562 Å, b = 5.3562 Å, c = 4.9725 Å, α = 90.00°, β = 90.00° and γ = 90.00°. The inequivalent atoms are Ca at (0.0000, 0.0000, 0.0000), Ti at (0.0000, 0.5000, 0.5000), Cu at (0.5000, 0.5000, 0.0000) and Pb at (0.5000, 0.5000, 0.5000).

Its energy of formation is 0.85 eV per atom.



No. 2
Density functional theory data (PBE) for a geometry-optimized Ca2ZnRe structure.

It has space group P4/mmm (No. 123), with a = 5.4707 Å, b = 5.4707 Å, c = 2.9296 Å, α = 90.00°, β = 90.00° and γ = 90.00°. The inequivalent atoms are Ca at (0.0000, 0.5000, 0.0000), Zn at (0.0000, 0.0000, 0.5000) and Re at (0.5000, 0.5000, 0.5000).

Its energy of formation is 0.52 eV per atom.



No. 3
Density functional theory data (PBE) for a geometry-optimized HOsRh2W structure.

It has space group P4/mmm (No. 123), with a = 3.8821 Å, b = 3.8821 Å, c = 4.0133 Å, α = 90.00°, β = 90.00° and γ = 90.00°. The inequivalent atoms are H at (0.0000, 0.0000, 0.0000), Os at (0.0000, 0.0000, 0.5000), Rh at (0.0000, 0.5000, 0.0000) and W at (0.5000, 0.5000, 0.5000).

As for the energy above the lowest structure with this stoichiometry: 0 meV/atom.



No. 4
Density functional theory data (PBE) for a geometry-optimized YAlCd structure.

It has space group Imm2 (No. 44), with a = 4.7188 Å, b = 7.1094 Å, c = 8.2037 Å, α = 90.00°, β = 90.00° and γ = 90.00°. The inequivalent atoms are Y at (0.0000, 0.0000, 0.0000), Y at (0.0000, 0.5000, 0.0155), Al at (0.0000, 0.2278, 0.3407) and Cd at (0.0000, 0.2518, 0.6738).

Its energy of formation is -0.40 eV per atom.



No. 5
Density functional theory data (PBE) for a geometry-optimized Np4Te3P structure.

It has space group Cmmm (No. 65), with a = 8.6165 Å, b = 12.1604 Å, c = 4.2845 Å, α = 90.00°, β = 90.00° and γ = 90.00°. The inequivalent atoms are Np at (0.0000, 0.2337, 0.0000), Np at (0.2199, 0.0000, 0.5000), Te at (0.0000, 0.5000, 0.0000), Te at (0.2500, 0.2500, 0.5000) and P at (0.0000, 0.0000, 0.0000).

The raw formation energy comes out at -628 meV/atom.



No. 6
Density functional theory data (PBE) for a geometry-optimized ZnIrSe structure.

It has space group Amm2 (No. 38), with a = 11.4008 Å, b = 3.2488 Å, c = 5.6124 Å, α = 90.00°, β = 90.00° and γ = 90.00°. The inequivalent atoms are Zn at (0.1576, 0.0000, 0.0000), Ir at (0.0000, 0.0000, 0.3338), Ir at (0.5000, 0.0000, 0.3320) and Se at (0.3481, 0.0000, 0.6657).

The raw formation energy comes out at 187 meV/atom. As for the energy above the lowest structure with this stoichiometry: 122 meV/atom.



No. 7
Density functional theory data (PBE) for a geometry-optimized NaLi2VSn structure.

It has space group P4/mmm (No. 123), with a = 4.5391 Å, b = 4.5391 Å, c = 5.2049 Å, α = 90.00°, β = 90.00° and γ = 90.00°. The inequivalent atoms are Na at (0.0000, 0.0000, 0.0000), Li at (0.0000, 0.5000, 0.0000), V at (0.0000, 0.0000, 0.5000) and Sn at (0.5000, 0.5000, 0.5000).

Its energy of formation is 0.76 eV per atom.



No. 8
Density functional theory data (PBE) for a geometry-optimized Pr3CdAu5 structure.

It has space group P6_3/mcm (No. 193), with a = 8.9689 Å, b = 8.9689 Å, c = 6.2791 Å, α = 90.00°, β = 90.00° and γ = 120.00°. The inequivalent atoms are Pr at (0.0000, 0.3582, 0.2500), Cd at (0.0000, 0.0000, 0.0000), Au at (0.0000, 0.3050, 0.7500) and Au at (0.3333, 0.6667, 0.0000).

Its energy of formation is -0.70 eV per atom.



No. 9
Density functional theory data (PBE) for a geometry-optimized Sb4RhPb structure.

It has space group F-43m (No. 216), with a = 8.7141 Å, b = 8.7141 Å, c = 8.7141 Å, α = 90.00°, β = 90.00° and γ = 90.00°. The inequivalent atoms are Sb at (0.1253, 0.1253, 0.1253), Rh at (0.0000, 0.0000, 0.5000) and Pb at (0.2500, 0.2500, 0.7500).

The raw formation energy comes out at 578 meV/atom.



No. 10
Density functional theory data (PBE) for a geometry-optimized PmAl2Rh structure.

It has space group Cmcm (No. 63), with a = 4.2561 Å, b = 10.3393 Å, c = 7.1822 Å, α = 90.00°, β = 90.00° and γ = 90.00°. The inequivalent atoms are Pm at (0.0000, 0.0626, 0.2500), Al at (0.0000, 0.3416, 0.0564) and Rh at (0.0000, 0.2127, 0.7500).

As for the energy above the lowest structure with this stoichiometry: 0 meV/atom. Its energy of formation is -0.79 eV per atom.